Record 1
A relaxed structure of Pd4Pb3S. Source: the Alexandria database, functional PBE-GGA.

The formation energy (no corrections) comes out at -2.0 eV/f.u. The space group is Pmmn (59). For the density of states at the Fermi level, the calculation gives 7.391 states/eV/cell. Its total energy is -76.0 eV per cell. For the mass density, the calculation gives 10.71 g/cm3. Its total magnetization is 0.0 μB per formula unit.

Structure (POSCAR):
```
Pd4Pb3S
1.0
5.730 0.000 0.000
0.000 9.168 0.000
0.000 0.000 6.370
Pd Pb S
8 6 2
Direct
0.007 0.250 0.004
0.250 0.503 0.813
0.250 0.997 0.813
0.493 0.250 0.004
0.507 0.750 0.996
0.750 0.003 0.187
0.750 0.497 0.187
0.993 0.750 0.996
0.250 0.250 0.578
0.250 0.526 0.252
0.250 0.974 0.252
0.750 0.026 0.748
0.750 0.474 0.748
0.750 0.750 0.422
0.250 0.750 0.683
0.750 0.250 0.317
```

---

Record 2
A relaxed structure of NpTlBiAu. Source: the Alexandria database, functional PBE-GGA.

The space group is F-43m (216). For the density of states at the Fermi level, the calculation gives 14.948 states/eV/cell. Its total energy is -22.0 eV per cell. For the mass density, the calculation gives 13.17 g/cm3. Its total magnetization is 4.2 μB per formula unit.

Structure (POSCAR):
```
NpTlBiAu
1.0
0.000 3.766 3.766
3.766 0.000 3.766
3.766 3.766 0.000
Np Tl Bi Au
1 1 1 1
Direct
0.000 0.000 0.000
0.500 0.500 0.500
0.750 0.750 0.750
0.250 0.250 0.250
```

---

Record 3
A relaxed structure of Pm2Y6Er3Zr. Source: the Alexandria database, functional PBE-GGA.

The space group is C2/m (12). For the density of states at the Fermi level, the calculation gives 16.177 states/eV/cell. Its total energy is -69.8 eV per cell. For the mass density, the calculation gives 6.30 g/cm3. Its total magnetization is 0.0 μB per formula unit.

Structure (POSCAR):
```
Pm2Y6Er3Zr
1.0
3.061 -5.294 0.000
3.061 5.294 0.000
-2.026 0.000 11.523
Pm Y Er Zr
2 6 3 1
Direct
0.167 0.833 0.000
0.833 0.167 0.000
0.091 0.417 0.752
0.256 0.256 0.247
0.417 0.091 0.752
0.583 0.909 0.248
0.744 0.744 0.753
0.909 0.583 0.248
0.000 0.000 0.500
0.334 0.666 0.500
0.666 0.334 0.500
0.500 0.500 0.000
```

---

Record 4
A relaxed structure of Mn3InHg. Source: the Alexandria database, functional PBE-GGA.

The space group is Pm-3m (221). For the density of states at the Fermi level, the calculation gives 5.154 states/eV/cell. Its total energy is -25.4 eV per cell. For the mass density, the calculation gives 6.23 g/cm3. As for the energy relative to the lowest polymorph listed for this composition: 0.0 meV per atom. Its total magnetization is 12.3 μB per formula unit.

Structure (POSCAR):
```
Mn3InHg
1.0
5.039 0.000 0.000
0.000 5.039 0.000
0.000 0.000 5.039
Mn In Hg
3 1 1
Direct
0.000 0.000 0.500
0.000 0.500 0.000
0.500 0.000 0.000
0.500 0.500 0.500
0.000 0.000 0.000
```